VASP calculation (PBE with a Hubbard U) on KCeMnF6 after structural relaxation.

The calculation puts the size of the total moment at 0.67 μB per atom. As for the crystal system: trigonal. The value obtained for the electronic total energy is -55.1 eV/f.u.

It has space group P-31c (No. 163), with a = 6.0686 Å, b = 6.0686 Å, c = 10.7840 Å, α = 90.00°, β = 90.00° and γ = 120.00°. Symmetry generates all atoms from K at (0.0000, 0.0000, 0.0000), Ce at (0.3333, 0.6667, 0.2500), Mn at (0.3333, 0.6667, 0.7500) and F at (0.0194, 0.3781, 0.6443).